(1)
3
Lattice="0.000 2.322 7.037 1.603 0.000 7.037 1.603 2.322 0.000" Properties=species:S:1:pos:R:3 comment="MgCdOs | Alexandria via LeMat-Bulk | PBE | relaxed" formation_energy_kj_per_mol_fu=118 magnetic_moment_mub_per_fu=0.00 relative_energy_kj_per_mol_atoms=5.9 pbc="T T T"
Mg 0.000 0.000 0.000
Cd 1.603 2.322 4.472
Os 1.603 2.322 9.145

=====

(2)
4
Lattice="-1.817 2.254 3.396 1.817 -2.254 3.396 1.817 2.254 -3.396" Properties=species:S:1:pos:R:3 comment="Co2AsAu | Alexandria via LeMat-Bulk | PBE | relaxed" formation_energy_kj_per_mol_fu=77 magnetic_moment_mub_per_fu=0.01 pbc="T T T"
Co 0.000 0.000 1.416
Co 0.000 0.000 5.376
As 1.817 0.000 0.000
Au 0.000 2.254 0.000

=====

(3)
5
Lattice="4.108 0.000 0.000 0.000 4.108 0.000 0.000 0.000 4.108" Properties=species:S:1:pos:R:3 comment="SnPdN3 | Alexandria via LeMat-Bulk | PBE | relaxed" magnetic_moment_mub_per_fu=1.19 e_form_raw_mev_per_atom=1975 pbc="T T T"
Sn 0.000 0.000 0.000
Pd 2.054 2.054 2.054
N 0.000 0.000 2.054
N 0.000 2.054 0.000
N 2.054 0.000 0.000

=====

(4)
6
Lattice="7.326 -2.010 0.000 7.326 2.010 0.000 -0.487 0.000 6.876" Properties=species:S:1:pos:R:3 comment="MnTeI | Alexandria via LeMat-Bulk | PBE | relaxed" magnetic_moment_mub_per_fu=4.01 e_form_raw_mev_per_atom=-235 pbc="T T T"
Mn 0.000 0.000 0.000
Mn 7.083 0.000 3.438
Te 1.267 0.000 2.420
Te 12.899 0.000 4.456
I 5.485 0.000 0.862
I 8.680 0.000 6.014

=====

(5)
5
Lattice="5.100 0.000 0.000 0.000 5.100 0.000 0.000 0.000 4.477" Properties=species:S:1:pos:R:3 comment="Nb2CoSnTe | Alexandria via LeMat-Bulk | PBE | relaxed" magnetic_moment_mub_per_fu=0.00 e_form_raw_mev_per_atom=1029 pbc="T T T"
Nb 0.000 2.550 0.000
Nb 2.550 0.000 0.000
Co 0.000 0.000 2.238
Sn 2.550 2.550 2.238
Te 0.000 0.000 0.000

=====

(6)
8
Lattice="7.910 -2.385 0.000 7.910 2.385 0.000 -1.433 0.000 8.166" Properties=species:S:1:pos:R:3 comment="BaCaTe2 | Alexandria via LeMat-Bulk | PBE | relaxed" magnetic_moment_mub_per_fu=0.00 e_form_raw_mev_per_atom=-1677 relative_energy_kj_per_mol_atoms=1.8 pbc="T T T"
Ba 1.533 0.000 3.044
Ba 12.854 0.000 5.122
Ca 5.819 0.000 1.008
Ca 8.568 0.000 7.158
Te 0.000 0.000 0.000
Te 2.703 0.000 6.356
Te 7.194 0.000 4.083
Te 11.684 0.000 1.811